Material: Sc2As2PdPt
Method: DFT, PBE
State: optimized geometry

Properties
* SG: Pm (6)
* DFT total energy: -6.618 eV/atom

The structure in POSCAR format:
```
Sc2As2PdPt
1.0
7.534 0.000 0.000
0.000 4.350 0.000
-2.511 0.000 14.203
As Pd Pt Sc
8 4 4 8
direct
0.062 0.000 0.187
0.563 0.500 0.188
0.813 0.000 0.438
0.313 0.500 0.438
0.562 0.000 0.687
0.063 0.500 0.687
0.312 0.000 0.937
0.813 0.500 0.937
0.001 0.000 0.000
0.001 0.500 0.501
0.500 0.000 0.501
0.250 0.000 0.750
0.500 0.500 0.000
0.250 0.500 0.249
0.749 0.000 0.249
0.749 0.500 0.750
0.688 0.000 0.062
0.186 0.500 0.062
0.938 0.500 0.314
0.438 0.000 0.314
0.688 0.500 0.562
0.187 0.000 0.562
0.437 0.500 0.812
0.938 0.000 0.813
```